1.
# KLaTeN2

KLaTeN2 after structural relaxation (GGA-PBE, Alexandria). Values from VASP.

- space-group type = No. 123
- size of the total moment (μB per cell) = 4.0
- energy above the most stable polymorph in this dataset (meV/atom) = 0
- uncorrected formation energy (eV per atom) = 0.321

```
&SYSTEM
  ibrav = 0, nat = 5, ntyp = 4
/
ATOMIC_SPECIES
Te 127.60 Te.upf
K 39.10 K.upf
La 138.91 La.upf
N 14.01 N.upf
CELL_PARAMETERS angstrom
4.880 0.000 0.000
0.000 4.880 0.000
0.000 0.000 6.427
ATOMIC_POSITIONS crystal
Te 0.000 0.000 0.500
K 0.500 0.500 0.500
La 0.000 0.000 0.000
N 0.000 0.500 0.000
N 0.500 0.000 0.000
```

2.
# Cr3Se2

Cr3Se2 after structural relaxation (GGA-PBE, Alexandria). Values from VASP.

- space-group type = No. 43
- size of the total moment (μB per cell) = 8.1
- energy above the most stable polymorph in this dataset (meV/atom) = 0
- uncorrected formation energy (eV per atom) = 0.001

```
&SYSTEM
  ibrav = 0, nat = 10, ntyp = 2
/
ATOMIC_SPECIES
Se 78.96 Se.upf
Cr 52.00 Cr.upf
CELL_PARAMETERS angstrom
1.888 4.994 6.223
-3.567 4.031 3.514
2.224 -1.393 5.580
ATOMIC_POSITIONS crystal
Se 0.979 0.679 0.116
Se 0.134 0.025 0.271
Se 0.571 0.271 0.025
Se 0.225 0.116 0.679
Cr 0.186 0.690 0.584
Cr 0.541 0.584 0.690
Cr 0.819 0.181 0.181
Cr 0.069 0.431 0.431
Cr 0.666 0.709 0.064
Cr 0.560 0.064 0.709
```

3.
# NpCu4Ge

NpCu4Ge after structural relaxation (GGA-PBE, Alexandria). Values from VASP.

- space-group type = No. 216
- formation energy (eV/atom) = 0.092
- size of the total moment (μB per cell) = 4.6

```
&SYSTEM
  ibrav = 0, nat = 6, ntyp = 3
/
ATOMIC_SPECIES
Cu 63.55 Cu.upf
Ge 72.64 Ge.upf
Np 237.00 Np.upf
CELL_PARAMETERS angstrom
-0.687 -4.179 -2.802
3.961 -2.958 -1.161
0.453 -4.588 2.130
ATOMIC_POSITIONS crystal
Cu 0.625 0.625 0.625
Cu 0.124 0.625 0.625
Cu 0.625 0.124 0.625
Cu 0.625 0.625 0.124
Ge 0.000 0.000 0.000
Np 0.250 0.250 0.250
```

4.
# BaZnAg

BaZnAg after structural relaxation (GGA-PBE, Alexandria). Values from VASP.

- space-group type = No. 12
- formation energy (eV/atom) = -0.242
- size of the total moment (μB per cell) = 0.0

```
&SYSTEM
  ibrav = 0, nat = 6, ntyp = 3
/
ATOMIC_SPECIES
Ba 137.33 Ba.upf
Zn 65.41 Zn.upf
Ag 107.87 Ag.upf
CELL_PARAMETERS angstrom
4.795 0.000 0.000
2.398 6.027 -0.992
2.398 0.476 6.092
ATOMIC_POSITIONS crystal
Ba 0.001 0.753 0.246
Ba 0.999 0.247 0.754
Zn 0.337 0.663 0.662
Zn 0.663 0.337 0.338
Ag 0.324 0.176 0.177
Ag 0.676 0.824 0.823
```

5.
# Li2TeRh

Li2TeRh after structural relaxation (GGA-PBE, Alexandria). Values from VASP.

- space-group type = No. 166
- size of the total moment (μB per cell) = 0.3
- uncorrected formation energy (eV per atom) = -0.094

```
&SYSTEM
  ibrav = 0, nat = 4, ntyp = 3
/
ATOMIC_SPECIES
Li 6.94 Li.upf
Te 127.60 Te.upf
Rh 102.91 Rh.upf
CELL_PARAMETERS angstrom
8.866 0.013 0.008
8.328 3.040 0.008
8.328 1.479 2.656
ATOMIC_POSITIONS crystal
Li 0.510 0.510 0.510
Li 0.990 0.990 0.990
Te 0.750 0.750 0.750
Rh 0.250 0.250 0.250
```

6.
# CdTcOs2

CdTcOs2 after structural relaxation (GGA-PBE, Alexandria). Values from VASP.

- space-group type = No. 25
- formation energy (eV/atom) = 0.463
- size of the total moment (μB per cell) = 0.0

```
&SYSTEM
  ibrav = 0, nat = 4, ntyp = 3
/
ATOMIC_SPECIES
Os 190.23 Os.upf
Tc 98.00 Tc.upf
Cd 112.41 Cd.upf
CELL_PARAMETERS angstrom
3.902 0.000 0.000
0.000 2.776 -0.005
0.000 2.783 5.828
ATOMIC_POSITIONS crystal
Os 0.500 0.249 0.251
Os 0.000 0.971 0.029
Tc 0.000 0.531 0.468
Cd 0.500 0.749 0.751
```

7.
# LaNiIrN2

LaNiIrN2 after structural relaxation (GGA-PBE, Alexandria). Values from VASP.

- space-group type = No. 123
- size of the total moment (μB per cell) = 0.0
- uncorrected formation energy (eV per atom) = 1.166

```
&SYSTEM
  ibrav = 0, nat = 5, ntyp = 4
/
ATOMIC_SPECIES
Ni 58.69 Ni.upf
N 14.01 N.upf
Ir 192.22 Ir.upf
La 138.91 La.upf
CELL_PARAMETERS angstrom
3.788 0.000 0.000
0.000 5.590 0.000
0.000 0.000 3.788
ATOMIC_POSITIONS crystal
Ni 0.000 0.000 0.000
N 0.000 0.000 0.500
N 0.500 0.000 0.000
Ir 0.500 0.500 0.500
La 0.000 0.500 0.000
```

8.
# ZrAlSi4

ZrAlSi4 after structural relaxation (GGA-PBE, Alexandria). Values from VASP.

- space-group type = No. 65
- size of the total moment (μB per cell) = 0.0
- energy above the most stable polymorph in this dataset (meV/atom) = 12
- uncorrected formation energy (eV per atom) = -0.006

```
&SYSTEM
  ibrav = 0, nat = 6, ntyp = 3
/
ATOMIC_SPECIES
Si 28.09 Si.upf
Zr 91.22 Zr.upf
Al 26.98 Al.upf
CELL_PARAMETERS angstrom
2.370 -3.643 0.000
2.370 3.643 0.000
0.000 0.000 5.495
ATOMIC_POSITIONS crystal
Si 0.166 0.834 0.768
Si 0.834 0.166 0.232
Si 0.166 0.834 0.232
Si 0.834 0.166 0.768
Zr 0.500 0.500 0.500
Al 0.500 0.500 0.000
```